Entry 1:
Material: GdMg
Method: DFT, PBE
State: relaxed

Unit cell a=6.8596 b=6.8596 c=5.5371 alpha=90.00 beta=90.00 gamma=120.00
Space group P-6m2 (No. 187)
Inequivalent atoms, fractional coordinates:
Gd 0.0000 0.0000 0.0000 (multiplicity 1)
Gd 0.3319 0.1660 0.5000 (multiplicity 3)
Mg 0.3333 0.6667 0.5000 (multiplicity 1)
Mg 0.5036 0.0072 0.0000 (multiplicity 3)

---

Entry 2:
Material: GdMg
Method: DFT, PBE
State: relaxed

Unit cell a=6.790 b=5.349 c=9.250 alpha=90.00 beta=90.04 gamma=90.00
Space group P2_1/m (No. 11)
Inequivalent atoms, fractional coordinates:
Gd 0.007 0.250 0.412 (multiplicity 2)
Gd 0.250 0.250 0.755 (multiplicity 2)
Gd 0.253 0.750 0.247 (multiplicity 2)
Mg 0.006 0.750 0.926 (multiplicity 2)
Mg 0.490 0.750 0.577 (multiplicity 2)
Mg 0.496 0.250 0.089 (multiplicity 2)

---

Entry 3:
Material: GdMg2
Method: DFT, PBE
State: relaxed

Unit cell a=5.339 b=10.784 c=5.513 alpha=90.00 beta=90.00 gamma=90.00
Space group Pmmn (No. 59, origin choice 2)
Inequivalent atoms, fractional coordinates:
Gd 0.250 0.088 0.082 (multiplicity 4)
Mg 0.250 0.250 0.591 (multiplicity 2)
Mg 0.250 0.595 0.557 (multiplicity 4)
Mg 0.250 0.750 0.057 (multiplicity 2)

---

Entry 4:
Material: Gd3Mg4
Method: DFT, PBE
State: relaxed

Unit cell a=9.0382 b=9.0382 c=5.4242 alpha=90.00 beta=90.00 gamma=120.00
Space group P6_3/m (No. 176)
Inequivalent atoms, fractional coordinates:
Gd 0.0688 0.2568 0.2500 (multiplicity 6)
Mg 0.1028 0.4898 0.7500 (multiplicity 6)
Mg 0.3333 0.6667 0.2500 (multiplicity 2)

---

Entry 5:
Material: GdMg
Method: DFT, PBE
State: relaxed

Unit cell a=3.730 b=5.422 c=11.149 alpha=90.00 beta=90.00 gamma=90.00
Space group Pmmn (No. 59, origin choice 2)
Inequivalent atoms, fractional coordinates:
Gd 0.250 0.250 0.037 (multiplicity 2)
Gd 0.250 0.750 0.243 (multiplicity 2)
Mg 0.250 0.250 0.505 (multiplicity 2)
Mg 0.250 0.750 0.712 (multiplicity 2)

---

Entry 6:
Material: Gd3Mg4
Method: DFT, PBE
State: relaxed

Unit cell a=9.1284 b=9.1284 c=5.3325 alpha=90.00 beta=90.00 gamma=120.00
Space group P6_3/m (No. 176)
Inequivalent atoms, fractional coordinates:
Gd 0.0978 0.4642 0.2500 (multiplicity 6)
Mg 0.0470 0.2314 0.7500 (multiplicity 6)
Mg 0.3333 0.6667 0.7500 (multiplicity 2)

---

Entry 7:
Material: Gd2Mg3
Method: DFT, PBE
State: relaxed

Unit cell a=9.2776 b=9.2776 c=11.6888 alpha=90.00 beta=90.00 gamma=120.00
Space group R-3c (No. 167, hexagonal axes)
Inequivalent atoms, fractional coordinates:
Gd 0.0000 0.0000 0.1245 (multiplicity 12)
Mg 0.0000 0.3198 0.2500 (multiplicity 18)

---

Entry 8:
Material: GdMg
Method: DFT, PBE
State: relaxed

Unit cell a=5.533 b=10.395 c=5.845 alpha=90.00 beta=90.00 gamma=90.00
Space group Pmc2_1 (No. 26)
Inequivalent atoms, fractional coordinates:
Gd 0.000 0.070 0.000 (multiplicity 2)
Gd 0.000 0.266 0.529 (multiplicity 2)
Gd 0.500 0.255 0.157 (multiplicity 2)
Mg 0.000 0.418 0.014 (multiplicity 2)
Mg 0.500 0.088 0.653 (multiplicity 2)
Mg 0.500 0.424 0.679 (multiplicity 2)

---

| no. | total moment (μB/f.u.) | total DFT energy (no corrections) (eV for the cell shown) |
| --- | --- | --- |
| 1 | 0.02 | -24.3 |
| 2 | 0.01 | -37.5 |
| 3 | 0.00 | -30.8 |
| 4 | 0.00 | -40.5 |
| 5 | 0.03 | -25.1 |
| 6 | 0.00 | -40.5 |
| 7 | 0.01 | -73.9 |
| 8 | 0.00 | -37.0 |